LaPAuO: relaxed, PBE.

Geometry as POSCAR:
```
LaPAuO
1.0
4.195 0.000 0.000
0.000 4.195 0.000
0.000 0.000 8.470
Au P La O
2 2 2 2
Direct
0.750 0.250 0.500 Au
0.250 0.750 0.500 Au
0.250 0.250 0.673 P
0.750 0.750 0.327 P
0.250 0.250 0.138 La
0.750 0.750 0.862 La
0.250 0.750 0.000 O
0.750 0.250 0.000 O
```

Distance to the lowest polymorph of the same formula ... 0 meV per atom
Crystal system ... tetragonal
Total magnetization ... 0.02 μB/f.u.
Density ... 8.532 g/cm3
Volume ... 18.6 Å³ per atom


LaPAuO: relaxed, PBE.

Geometry as POSCAR:
```
LaPAuO
1.0
5.680 0.000 0.000
0.000 4.093 0.000
0.000 0.000 6.973
La O P Au
2 2 2 2
Direct
0.500 0.737 0.599 La
0.500 0.263 0.099 La
0.500 0.765 0.934 O
0.500 0.235 0.434 O
0.000 0.723 0.278 P
0.000 0.277 0.778 P
0.000 0.219 0.443 Au
0.000 0.781 0.943 Au
```

Distance to the lowest polymorph of the same formula ... 176 meV per atom
Crystal system ... orthorhombic
Total magnetization ... 0.00 μB/f.u.
Density ... 7.844 g/cm3
Volume ... 20.3 Å³ per atom


LaAuSO: relaxed, PBE.

Geometry as POSCAR:
```
LaAuSO
1.0
0.000 -2.930 -2.934
0.000 -2.930 2.934
-9.093 0.000 0.000
S O La Au
2 2 2 2
Direct
0.623 0.877 0.292 S
0.123 0.377 0.708 S
0.622 0.378 0.000 O
0.122 0.878 0.000 O
0.122 0.378 0.132 La
0.622 0.878 0.868 La
0.873 0.127 0.500 Au
0.373 0.627 0.500 Au
```

Crystal system ... orthorhombic
Total magnetization ... 0.00 μB/f.u.
Energy ... -6.324 eV per atom
Density ... 8.154 g/cm3
Volume ... 19.5 Å³ per atom


LaAuSO: relaxed, PBE.

Geometry as POSCAR:
```
LaAuSO
1.0
-2.224 2.424 -2.610
0.333 -4.037 -4.032
-5.733 -2.776 2.306
S O Au La
2 2 2 2
Direct
0.000 0.412 0.767 S
0.000 0.588 0.267 S
0.500 0.950 0.684 O
0.500 0.050 0.184 O
0.000 0.812 0.569 Au
0.000 0.188 0.069 Au
0.500 0.257 0.472 La
0.500 0.743 0.972 La
```

Crystal system ... orthorhombic
Total magnetization ... 0.00 μB/f.u.
Energy ... -5.862 eV per atom
Density ... 7.843 g/cm3
Volume ... 20.3 Å³ per atom


LaAuSO: relaxed, PBE.

Geometry as POSCAR:
```
LaAuSO
1.0
-1.655 4.370 3.615
-3.901 -3.609 2.577
7.899 -3.465 7.105
S O La Au
4 4 4 4
Direct
0.720 0.565 0.703 S
0.280 0.065 0.297 S
0.714 0.622 0.292 S
0.286 0.122 0.708 S
0.751 0.569 0.999 O
0.251 0.568 0.000 O
0.749 0.068 0.000 O
0.249 0.069 0.001 O
0.506 0.319 0.106 La
0.494 0.819 0.894 La
0.007 0.820 0.106 La
0.993 0.320 0.894 La
0.304 0.095 0.503 Au
0.998 0.342 0.287 Au
0.696 0.595 0.497 Au
0.002 0.842 0.713 Au
```

Crystal system ... monoclinic
Total magnetization ... 0.00 μB/f.u.
Energy ... -6.282 eV per atom
Density ... 6.544 g/cm3
Volume ... 24.4 Å³ per atom


LaAuSO: relaxed, PBE.

Geometry as POSCAR:
```
LaAuSO
1.0
5.851 0.000 0.000
0.000 5.833 0.000
0.000 0.000 9.166
S O La Au
4 4 4 4
Direct
0.500 0.500 0.707 S
0.000 0.500 0.293 S
0.500 0.000 0.293 S
0.000 0.000 0.707 S
0.751 0.751 0.000 O
0.749 0.251 0.000 O
0.251 0.749 0.000 O
0.249 0.249 0.000 O
0.000 0.000 0.132 La
0.500 0.500 0.132 La
0.000 0.500 0.868 La
0.500 0.000 0.868 La
0.507 0.750 0.500 Au
0.993 0.250 0.500 Au
0.493 0.250 0.500 Au
0.007 0.750 0.500 Au
```

Crystal system ... orthorhombic
Total magnetization ... 0.00 μB/f.u.
Energy ... -6.323 eV per atom
Density ... 8.151 g/cm3
Volume ... 19.6 Å³ per atom


> What is the volume in the sixth record?

19.6 Å³ per atom


> Among the records above, which one has the lowest density?

number 5


> What is the volume in the fourth record?

20.3 Å³ per atom